Entry 1:
Entry from Alexandria via LeMat-Bulk: crystalline YBOs at its relaxed geometry (GGA-PBE).

a b c (Å): 4.306 3.664 3.664
angles (deg): 120.00 90.00 90.00
Positions (direct):
Y (0.667, 0.333, 0.667)
B (0.167, 0.667, 0.333)
Os (0.167, 0.000, 0.000)

Output
The calculation puts the calculated volume at 16.69 A^3/atom. Its offset from the most stable computed form is 0 meV per atom.

***

Entry 2:
Entry from Alexandria via LeMat-Bulk: crystalline YB4Os at its relaxed geometry (GGA-PBE).

a b c (Å): 3.572 5.979 11.562
angles (deg): 90.00 90.00 90.00
Positions (direct):
Y (0.000, 0.628, 0.650)
B (0.500, 0.888, 0.547)
B (0.500, 0.289, 0.686)
B (0.500, 0.364, 0.530)
Os (0.000, 0.641, 0.907)
B (0.500, 0.975, 0.691)
B (0.500, 0.211, 0.186)
Y (0.000, 0.872, 0.150)
Os (0.000, 0.359, 0.093)
B (0.500, 0.636, 0.470)
B (0.500, 0.612, 0.047)
B (0.500, 0.864, 0.970)
Y (0.000, 0.128, 0.850)
B (0.500, 0.525, 0.191)
B (0.500, 0.136, 0.030)
B (0.500, 0.025, 0.309)
B (0.500, 0.789, 0.814)
Os (0.000, 0.141, 0.593)
Os (0.000, 0.859, 0.407)
Y (0.000, 0.372, 0.350)
B (0.500, 0.475, 0.809)
B (0.500, 0.711, 0.314)
B (0.500, 0.112, 0.453)
B (0.500, 0.388, 0.953)

Output
The calculation puts the calculated volume at 10.29 A^3/atom. The value obtained for the final energy is -7.97 eV/atom.

***

Entry 3:
Entry from Alexandria via LeMat-Bulk: crystalline Y2ZnBOs at its relaxed geometry (GGA-PBE).

a b c (Å): 5.056 5.056 3.974
angles (deg): 90.00 90.00 90.00
Positions (direct):
Os (0.000, 0.000, 0.500)
Zn (0.500, 0.500, 0.500)
Y (0.000, 0.500, 0.000)
B (0.000, 0.000, 0.000)
Y (0.500, 0.000, 0.000)

Output
The calculation puts the calculated volume at 20.32 A^3/atom. The value obtained for the final energy is -6.68 eV/atom.

***

Entry 4:
Entry from Alexandria via LeMat-Bulk: crystalline YZrB2Os at its relaxed geometry (GGA-PBE).

a b c (Å): 4.200 5.193 4.200
angles (deg): 90.00 90.00 90.00
Positions (direct):
B (0.000, 0.000, 0.500)
Os (0.000, 0.000, 0.000)
B (0.500, 0.000, 0.000)
Zr (0.500, 0.500, 0.500)
Y (0.000, 0.500, 0.000)

Output
The calculation puts the calculated volume at 18.32 A^3/atom. The value obtained for the final energy is -7.14 eV/atom.

***

Entry 5:
Entry from Alexandria via LeMat-Bulk: crystalline Yb2B6Os at its relaxed geometry (GGA-PBE).

a b c (Å): 3.617 9.127 11.468
angles (deg): 90.00 90.00 90.00
Positions (direct):
Yb (0.000, 0.057, 0.630)
B (0.500, 0.598, 0.027)
B (0.500, 0.292, 0.235)
B (0.500, 0.708, 0.765)
B (0.500, 0.250, 0.081)
B (0.500, 0.447, 0.567)
B (0.500, 0.750, 0.919)
B (0.500, 0.519, 0.712)
B (0.500, 0.481, 0.288)
B (0.500, 0.098, 0.473)
Os (0.000, 0.639, 0.321)
B (0.500, 0.402, 0.973)
B (0.500, 0.053, 0.067)
B (0.500, 0.981, 0.212)
B (0.500, 0.947, 0.933)
B (0.500, 0.630, 0.185)
Os (0.000, 0.361, 0.679)
Yb (0.000, 0.823, 0.086)
Yb (0.000, 0.323, 0.414)
B (0.500, 0.750, 0.419)
Yb (0.000, 0.177, 0.914)
Os (0.000, 0.139, 0.179)
B (0.500, 0.208, 0.735)
Yb (0.000, 0.943, 0.370)
B (0.500, 0.902, 0.527)
B (0.500, 0.370, 0.815)
Yb (0.000, 0.557, 0.870)
B (0.500, 0.130, 0.315)
B (0.500, 0.019, 0.788)
Yb (0.000, 0.443, 0.130)
Yb (0.000, 0.677, 0.586)
B (0.500, 0.870, 0.685)
B (0.500, 0.250, 0.581)
Os (0.000, 0.861, 0.821)
B (0.500, 0.553, 0.433)
B (0.500, 0.792, 0.265)

Output
The calculation puts the calculated volume at 10.52 A^3/atom. The value obtained for the final energy is -6.52 eV/atom.

***

Entry 6:
Entry from Alexandria via LeMat-Bulk: crystalline YbB2Os at its relaxed geometry (GGA-PBE).

a b c (Å): 5.268 5.867 6.342
angles (deg): 90.00 90.00 90.00
Positions (direct):
B (0.423, 0.367, 0.539)
Os (0.750, 0.820, 0.188)
Yb (0.750, 0.489, 0.840)
B (0.577, 0.133, 0.039)
B (0.077, 0.367, 0.539)
B (0.423, 0.867, 0.961)
B (0.577, 0.633, 0.461)
Os (0.250, 0.680, 0.688)
Yb (0.750, 0.989, 0.660)
B (0.923, 0.133, 0.039)
B (0.923, 0.633, 0.461)
B (0.077, 0.867, 0.961)
Os (0.750, 0.320, 0.312)
Yb (0.250, 0.511, 0.160)
Os (0.250, 0.180, 0.812)
Yb (0.250, 0.011, 0.340)

Output
The calculation puts the calculated volume at 12.25 A^3/atom. The value obtained for the final energy is -6.96 eV/atom.

***

Entry 7:
Entry from Alexandria via LeMat-Bulk: crystalline ZnBOs at its relaxed geometry (GGA-PBE).

a b c (Å): 3.616 3.616 7.290
angles (deg): 75.64 75.64 60.00
Positions (direct):
Os (0.379, 0.379, 0.864)
B (0.728, 0.728, 0.815)
Zn (0.876, 0.876, 0.373)
Zn (0.124, 0.124, 0.627)
B (0.272, 0.272, 0.185)
Os (0.621, 0.621, 0.136)

Output
The calculation puts the calculated volume at 13.18 A^3/atom. The value obtained for the final energy is -6.14 eV/atom.

***

Entry 8:
Entry from Alexandria via LeMat-Bulk: crystalline ZnB2Os at its relaxed geometry (GGA-PBE).

a b c (Å): 4.942 4.942 5.864
angles (deg): 65.08 65.08 90.00
Positions (direct):
Zn (0.250, 0.750, 0.500)
Zn (0.500, 0.500, 0.000)
Os (0.000, 0.000, 0.000)
B (0.667, 0.125, 0.250)
B (0.875, 0.917, 0.750)
Os (0.750, 0.250, 0.500)
B (0.083, 0.625, 0.250)
B (0.375, 0.333, 0.750)

Output
The calculation puts the calculated volume at 14.38 A^3/atom. The value obtained for the final energy is -5.75 eV/atom.